[1]
A relaxed NpUTeN2 crystal, computed with PBE.

Its crystal system is tetragonal.

Lattice parameters (Å, degrees): 3.8818 3.8818 6.8536 106.45 106.45 90.00
Last column: nearest neighbours and their distance in Å.
Positions (direct):
1 N 0.7475 0.2475 0.4950  2 U 2.22, 2 Np 2.28
2 Np 0.8421 0.8421 0.6841  4 N 2.28
3 Te 0.5012 0.5012 0.0025  4 Np 3.40, 4 U 3.40-3.41, 8 N 3.65-3.73
4 U 0.1617 0.1617 0.3233  4 N 2.22
5 N 0.2475 0.7475 0.4950  2 U 2.22, 2 Np 2.28



[2]
A relaxed MgBe crystal, computed with PBE.

The formation energy comes out at 0.297 eV/atom. Its crystal system is monoclinic.

Lattice parameters (Å, degrees): 6.1482 6.1482 6.2659 62.98 62.98 26.03
Last column: nearest neighbours and their distance in Å.
Positions (direct):
1 Be 0.0224 0.0224 0.0003  4 Be 2.25-2.28
2 Mg 0.9607 0.9607 0.4682  5 Be 2.59-2.73, 2 Mg 2.77
3 Mg 0.7166 0.7166 0.0471  6 Be 2.68-2.84, 2 Mg 2.77
4 Be 0.3586 0.3586 0.2256  3 Be 2.15-2.28
5 Be 0.4332 0.4332 0.8395  3 Be 2.15-2.25
6 Mg 0.6752 0.6752 0.5860  5 Be 2.58-2.75, 2 Mg 2.77



[3]
A relaxed YNp2S3 crystal, computed with PBE.

Its crystal system is orthorhombic.

Lattice parameters (Å, degrees): 5.5245 7.8351 11.7304 90.00 90.00 90.00
Last column: nearest neighbours and their distance in Å.
Positions (direct):
1 S 0.7503 0.3756 0.7491  4 Np 2.76-2.77, 2 Y 2.77-2.78
2 S 0.2502 0.1228 0.5850  5 Np 2.75-2.77, 1 Y 2.78
3 S 0.7503 0.8756 0.7509  4 Np 2.76-2.77, 2 Y 2.77-2.78
4 Y 0.7501 0.6263 0.5822  6 S 2.76-2.78
5 S 0.2501 0.6263 0.5836  3 Y 2.76-2.77, 3 Np 2.76-2.77
6 S 0.2502 0.6228 0.9150  5 Np 2.75-2.77, 1 Y 2.78
7 Np 0.7502 0.6240 0.9164  6 S 2.76-2.77
8 Np 0.7502 0.1240 0.5836  6 S 2.76-2.77
9 Np 0.2503 0.8750 0.7510  6 S 2.75-2.77
10 S 0.2497 0.6244 0.2509  4 Np 2.76-2.77, 2 Y 2.77-2.78
11 S 0.7499 0.8737 0.0836  3 Y 2.76-2.77, 3 Np 2.76-2.77
12 S 0.2497 0.1244 0.2491  4 Np 2.76-2.77, 2 Y 2.77-2.78
13 S 0.7499 0.3737 0.4164  3 Y 2.76-2.77, 3 Np 2.76-2.77
14 Np 0.2498 0.3760 0.0836  6 S 2.76-2.77
15 Y 0.2499 0.8737 0.0822  6 S 2.76-2.78
16 S 0.7498 0.3772 0.0850  5 Np 2.75-2.77, 1 Y 2.78
17 Np 0.7497 0.1250 0.2490  6 S 2.75-2.77
18 Np 0.7497 0.6250 0.2510  6 S 2.75-2.77
19 Y 0.7501 0.1263 0.9178  6 S 2.76-2.78
20 Y 0.2499 0.3737 0.4178  6 S 2.76-2.78
21 S 0.2501 0.1263 0.9164  3 Y 2.76-2.77, 3 Np 2.76-2.77
22 Np 0.2503 0.3750 0.7490  6 S 2.75-2.77
23 S 0.7498 0.8772 0.4150  5 Np 2.75-2.77, 1 Y 2.78
24 Np 0.2498 0.8760 0.4164  6 S 2.76-2.77



[4]
A relaxed AcTbNd2Se6 crystal, computed with PBE.

Its crystal system is trigonal.

Lattice parameters (Å, degrees): 7.5326 7.5324 7.9425 61.69 61.69 60.00
Last column: nearest neighbours and their distance in Å.
Positions (direct):
1 Nd 0.0139 0.0140 0.9581  6 Se 2.92-3.02
2 Se 0.2196 0.9273 0.2488  1 Tb 2.90, 2 Nd 2.95-3.02, 1 Ac 3.17
3 Se 0.7163 0.1400 0.7513  2 Nd 2.92-3.01, 1 Tb 2.92, 1 Ac 3.06
4 Tb 0.3185 0.3185 0.0445  6 Se 2.90-2.92
5 Ac 0.8086 0.8086 0.5741  6 Se 3.06-3.17
6 Nd 0.5207 0.5207 0.4379  6 Se 2.95-3.01
7 Se 0.9274 0.6042 0.2489  1 Tb 2.90, 2 Nd 2.95-3.02, 1 Ac 3.17
8 Se 0.3923 0.7164 0.7513  2 Nd 2.92-3.01, 1 Tb 2.92, 1 Ac 3.06
9 Se 0.6043 0.2196 0.2488  1 Tb 2.90, 2 Nd 2.95-3.02, 1 Ac 3.17
10 Se 0.1400 0.3924 0.7514  2 Nd 2.92-3.01, 1 Tb 2.92, 1 Ac 3.06



[5]
A relaxed ScTePbI2 crystal, computed with PBE.

Its crystal system is tetragonal.

Lattice parameters (Å, degrees): 5.7258 5.7258 5.7844 90.00 90.00 90.00
Last column: nearest neighbours and their distance in Å.
Positions (direct):
1 Sc 0.0000 0.0000 0.0000  4 I 2.86, 2 Te 2.89
2 I 0.0000 0.5000 0.0000  2 Sc 2.86
3 I 0.5000 0.0000 0.0000  2 Sc 2.86
4 Te 0.0000 0.0000 0.5000  2 Sc 2.89
5 Pb 0.5000 0.5000 0.5000  4 Te 4.05, 8 I 4.07



[6]
A relaxed TmPuOs4 crystal, computed with PBE.

The formation energy comes out at -0.215 eV/atom. Its crystal system is cubic.

Lattice parameters (Å, degrees): 5.3354 5.3354 5.3354 60.00 60.00 60.00
Last column: nearest neighbours and their distance in Å.
Positions (direct):
1 Pu 0.0000 0.0000 0.0000  12 Os 3.13, 4 Tm 3.27
2 Os 0.6250 0.6250 0.1251  6 Os 2.67
3 Tm 0.2500 0.2500 0.2500  12 Os 3.13, 4 Pu 3.27
4 Os 0.6250 0.1251 0.6250  6 Os 2.67
5 Os 0.1251 0.6250 0.6250  6 Os 2.67
6 Os 0.6250 0.6250 0.6250  6 Os 2.67



Going through the records in order, we get raw total energy values of -10.09; -2.36; -9.04; -5.79; -3.75; -10.84 eV per atom.